Sr3InPb at its PBEsol-relaxed geometry. Source: Alexandria via LeMat-Bulk, functional SCAN.

The space-group type is Pm-3m. Its formation energy from the elements is -190 meV per atom. The value obtained for the magnetic moment is 0.00 μB per formula unit.

Cell and atoms, written as extended XYZ:
```
5
Lattice="6.2574 0.0000 0.0000 0.0000 6.2574 0.0000 0.0000 0.0000 6.2574" Properties=species:S:1:pos:R:3 pbc="T T T"
Sr 3.1287 0.0000 0.0000
Sr 0.0000 3.1287 0.0000
Sr 0.0000 0.0000 3.1287
In 3.1287 3.1287 3.1287
Pb 0.0000 0.0000 0.0000
```